1.
Computed, not measured: an optimized crystal structure of CaTaAg2 at the PBE-GGA level of DFT.

Properties
Size of the total moment: 0.0 Bohr magnetons per cell
Energy relative to the lowest polymorph listed for this composition: 0.020 eV per atom
Calculated formation energy: 0.283 eV per atom

Cell: 2.968 4.037 6.976 Å, 90.00 90.00 90.00°
Element x y z (fractional)
Ca1 0.000 0.000 0.000
Ta1 0.000 0.000 0.500
Ag1 0.500 0.500 0.288
Ag2 0.500 0.500 0.712

---

2.
Computed, not measured: an optimized crystal structure of Ho6Tl5Ag at the PBE-GGA level of DFT.

Properties
Size of the total moment: 0.0 Bohr magnetons per cell
Energy relative to the lowest polymorph listed for this composition: 0.000 eV per atom
Calculated formation energy: -0.325 eV per atom

Cell: 8.432 8.432 7.467 Å, 90.00 90.00 143.17°
Element x y z (fractional)
Ho1 0.000 0.000 0.245
Ho2 0.000 0.000 0.755
Ho3 0.336 0.664 0.246
Ho4 0.336 0.664 0.754
Ho5 0.664 0.336 0.246
Ho6 0.664 0.336 0.754
Tl1 0.163 0.837 0.000
Tl2 0.168 0.832 0.500
Tl3 0.500 0.500 0.500
Tl4 0.832 0.168 0.500
Tl5 0.837 0.163 0.000
Ag1 0.500 0.500 0.000

---

3.
Computed, not measured: an optimized crystal structure of BaPa2CuSe8 at the PBE-GGA level of DFT.

Properties
Size of the total moment: 0.0 Bohr magnetons per cell
Formation energy without anion corrections: -0.983 eV/atom

Cell: 6.211 6.211 9.000 Å, 90.00 90.00 120.00°
Element x y z (fractional)
Ba1 0.000 0.000 0.000
Pa1 0.333 0.667 0.379
Pa2 0.667 0.333 0.621
Cu1 0.000 0.000 0.500
Se1 0.176 0.351 0.669
Se2 0.176 0.824 0.669
Se3 0.333 0.667 0.086
Se4 0.351 0.176 0.331
Se5 0.649 0.824 0.669
Se6 0.667 0.333 0.914
Se7 0.824 0.176 0.331
Se8 0.824 0.649 0.331

---

4.
Computed, not measured: an optimized crystal structure of NpCdRuRh at the PBE-GGA level of DFT.

Properties
Size of the total moment: 11.0 Bohr magnetons per cell
Calculated formation energy: -0.123 eV per atom

Cell: 6.604 6.604 6.604 Å, 90.00 90.00 90.00°
Element x y z (fractional)
Np1 0.000 0.000 0.000
Np2 0.000 0.500 0.500
Np3 0.500 0.000 0.500
Np4 0.500 0.500 0.000
Cd1 0.000 0.000 0.500
Cd2 0.000 0.500 0.000
Cd3 0.500 0.000 0.000
Cd4 0.500 0.500 0.500
Ru1 0.250 0.250 0.750
Ru2 0.250 0.750 0.250
Ru3 0.750 0.250 0.250
Ru4 0.750 0.750 0.750
Rh1 0.250 0.250 0.250
Rh2 0.250 0.750 0.750
Rh3 0.750 0.250 0.750
Rh4 0.750 0.750 0.250

---

5.
Computed, not measured: an optimized crystal structure of Nd7Y2Er2 at the PBE-GGA level of DFT.

Properties
Size of the total moment: 0.0 Bohr magnetons per cell
Energy relative to the lowest polymorph listed for this composition: 0.000 eV per atom
Calculated formation energy: 0.137 eV per atom

Cell: 8.151 8.151 6.145 Å, 105.44 105.44 90.10°
Element x y z (fractional)
Nd1 0.000 0.000 0.000
Nd2 0.050 0.587 0.821
Nd3 0.413 0.950 0.179
Nd4 0.424 0.424 0.199
Nd5 0.576 0.576 0.801
Nd6 0.587 0.050 0.821
Nd7 0.950 0.413 0.179
Y1 0.213 0.787 0.500
Y2 0.787 0.213 0.500
Er1 0.231 0.231 0.586
Er2 0.769 0.769 0.414

---

6.
Computed, not measured: an optimized crystal structure of Pu4Sb3N2 at the PBE-GGA level of DFT.

Properties
Size of the total moment: 19.2 Bohr magnetons per cell
Formation energy without anion corrections: -0.861 eV/atom

Cell: 7.059 7.059 8.985 Å, 119.48 119.48 32.96°
Element x y z (fractional)
Pu1 0.124 0.124 0.405
Pu2 0.301 0.301 0.874
Pu3 0.699 0.699 0.126
Pu4 0.876 0.876 0.595
Sb1 0.000 0.000 0.000
Sb2 0.409 0.409 0.315
Sb3 0.591 0.591 0.685
N1 0.303 0.303 0.638
N2 0.697 0.697 0.362

---

7.
Computed, not measured: an optimized crystal structure of Hg2WCN at the PBE-GGA level of DFT.

Properties
Size of the total moment: 1.8 Bohr magnetons per cell
Formation energy without anion corrections: 1.978 eV/atom

Cell: 5.521 5.521 3.958 Å, 90.00 90.00 90.00°
Element x y z (fractional)
Hg1 0.000 0.500 0.000
Hg2 0.500 0.000 0.000
W1 0.000 0.000 0.000
C1 0.000 0.000 0.500
N1 0.500 0.500 0.500

---

8.
Computed, not measured: an optimized crystal structure of La7Pm6Y16 at the PBE-GGA level of DFT.

Properties
Size of the total moment: 0.0 Bohr magnetons per cell
Calculated formation energy: 0.248 eV per atom

Cell: 11.431 11.431 11.431 Å, 60.00 60.00 60.00°
Element x y z (fractional)
La1 0.000 0.000 0.000
La2 0.000 0.000 0.500
La3 0.000 0.500 0.000
La4 0.000 0.500 0.500
La5 0.500 0.000 0.000
La6 0.500 0.000 0.500
La7 0.500 0.500 0.000
Pm1 0.253 0.253 0.747
Pm2 0.253 0.747 0.253
Pm3 0.253 0.747 0.747
Pm4 0.747 0.253 0.253
Pm5 0.747 0.253 0.747
Pm6 0.747 0.747 0.253
Y1 0.046 0.651 0.651
Y2 0.130 0.130 0.130
Y3 0.130 0.130 0.611
Y4 0.130 0.611 0.130
Y5 0.349 0.349 0.349
Y6 0.349 0.349 0.954
Y7 0.349 0.954 0.349
Y8 0.389 0.870 0.870
Y9 0.611 0.130 0.130
Y10 0.651 0.046 0.651
Y11 0.651 0.651 0.046
Y12 0.651 0.651 0.651
Y13 0.870 0.389 0.870
Y14 0.870 0.870 0.389
Y15 0.870 0.870 0.870
Y16 0.954 0.349 0.349

---

9.
Computed, not measured: an optimized crystal structure of SrPrEuMg at the PBE-GGA level of DFT.

Properties
Size of the total moment: 30.3 Bohr magnetons per cell
Calculated formation energy: 0.084 eV per atom

Cell: 8.396 8.396 8.396 Å, 90.00 90.00 90.00°
Element x y z (fractional)
Sr1 0.000 0.000 0.000
Sr2 0.000 0.500 0.500
Sr3 0.500 0.000 0.500
Sr4 0.500 0.500 0.000
Pr1 0.000 0.000 0.500
Pr2 0.000 0.500 0.000
Pr3 0.500 0.000 0.000
Pr4 0.500 0.500 0.500
Eu1 0.250 0.250 0.750
Eu2 0.250 0.750 0.250
Eu3 0.750 0.250 0.250
Eu4 0.750 0.750 0.750
Mg1 0.250 0.250 0.250
Mg2 0.250 0.750 0.750
Mg3 0.750 0.250 0.750
Mg4 0.750 0.750 0.250

---

10.
Computed, not measured: an optimized crystal structure of KPtRhSe3 at the PBE-GGA level of DFT.

Properties
Size of the total moment: 0.0 Bohr magnetons per cell
Formation energy without anion corrections: -0.512 eV/atom

Cell: 8.494 3.826 9.487 Å, 90.00 103.23 90.00°
Element x y z (fractional)
K1 0.187 0.250 0.239
K2 0.813 0.750 0.761
Pt1 0.093 0.250 0.572
Pt2 0.907 0.750 0.428
Rh1 0.352 0.750 0.855
Rh2 0.648 0.250 0.145
Se1 0.156 0.250 0.850
Se2 0.281 0.750 0.584
Se3 0.451 0.750 0.128
Se4 0.549 0.250 0.872
Se5 0.719 0.250 0.416
Se6 0.844 0.750 0.150

---

11.
Computed, not measured: an optimized crystal structure of BaSmBS4 at the PBE-GGA level of DFT.

Properties
Size of the total moment: 0.0 Bohr magnetons per cell
Formation energy without anion corrections: -1.538 eV/atom

Cell: 6.180 6.456 8.471 Å, 90.00 108.40 90.00°
Element x y z (fractional)
Ba1 0.211 0.250 0.424
Ba2 0.789 0.750 0.576
Sm1 0.275 0.250 0.952
Sm2 0.725 0.750 0.048
B1 0.293 0.750 0.189
B2 0.707 0.250 0.811
S1 0.104 0.750 0.337
S2 0.120 0.750 0.952
S3 0.491 0.510 0.232
S4 0.491 0.990 0.232
S5 0.509 0.010 0.768
S6 0.509 0.490 0.768
S7 0.880 0.250 0.048
S8 0.896 0.250 0.663

---

Number 1: raw total energy -18.426 eV per cell. Number 2: raw total energy -46.052 eV per cell. Number 3: raw total energy -64.687 eV per cell. Number 4: raw total energy -123.908 eV per cell. Number 5: raw total energy -53.918 eV per cell. Number 6: raw total energy -94.092 eV per cell. Number 7: raw total energy -21.214 eV per cell. Number 8: raw total energy -159.216 eV per cell. Number 9: raw total energy -71.971 eV per cell. Number 10: raw total energy -56.029 eV per cell. Number 11: raw total energy -81.193 eV per cell.